Entry 1:
A geometry-optimized K2V8O21 structure. Source: Alexandria, functional PBEsol.

Calculated values
total magnetization	0.0	Bohr magnetons per cell
energy relative to the elements, uncorrected	-2.3085	eV per atom
VASP energy	-0.6191	Ry/atom

Cell lengths 15.017, 3.557, 14.765 Å; angles 90.00, 91.31, 90.00 degrees
Space group C2/m (No. 12)
Symmetry-distinct sites (fractional):
K 0.028 0.000 0.312 [4 per cell]
V 0.090 0.500 0.924 [4 per cell]
V 0.168 0.500 0.521 [4 per cell]
V 0.187 0.500 0.729 [4 per cell]
V 0.189 0.000 0.072 [4 per cell]
O 0.000 0.500 0.000 [2 per cell]
O 0.043 0.500 0.824 [4 per cell]
O 0.094 0.500 0.441 [4 per cell]
O 0.111 0.500 0.622 [4 per cell]
O 0.113 0.000 0.145 [4 per cell]
O 0.117 0.000 0.951 [4 per cell]
O 0.160 0.000 0.739 [4 per cell]
O 0.195 0.500 0.034 [4 per cell]
O 0.209 0.000 0.527 [4 per cell]
O 0.212 0.500 0.859 [4 per cell]
O 0.216 0.000 0.314 [4 per cell]

Entry 2:
A geometry-optimized K2W4O13 structure. Source: Alexandria, functional PBEsol.

Calculated values
total magnetization	0.0	Bohr magnetons per cell
energy relative to the elements, uncorrected	-2.1766	eV per atom
VASP energy	-0.6464	Ry/atom
density of states at the Fermi level	0.0000	states/eV/atom

Cell lengths 3.862, 15.691, 15.733 Å; angles 119.89, 90.07, 90.04 degrees
Space group P1 (No. 1)
Symmetry-distinct sites (fractional):
K 0.000 0.000 0.000 [1 per cell]
K 0.000 0.133 0.326 [1 per cell]
K 0.944 0.625 0.629 [1 per cell]
K 0.950 0.526 0.335 [1 per cell]
K 0.976 0.276 0.799 [1 per cell]
K 0.999 0.810 0.134 [1 per cell]
W 0.425 0.405 0.091 [1 per cell]
W 0.426 0.042 0.639 [1 per cell]
W 0.427 0.496 0.733 [1 per cell]
W 0.430 0.862 0.731 [1 per cell]
W 0.434 0.402 0.458 [1 per cell]
W 0.438 0.680 0.274 [1 per cell]
W 0.511 0.769 0.913 [1 per cell]
W 0.512 0.223 0.182 [1 per cell]
W 0.515 0.138 0.909 [1 per cell]
W 0.516 0.954 0.368 [1 per cell]
W 0.519 0.580 0.999 [1 per cell]
W 0.520 0.227 0.557 [1 per cell]
O 0.455 0.744 0.629 [1 per cell]
O 0.464 0.676 0.383 [1 per cell]
O 0.464 0.968 0.509 [1 per cell]
O 0.465 0.511 0.451 [1 per cell]
O 0.468 0.353 0.172 [1 per cell]
O 0.468 0.470 0.598 [1 per cell]
O 0.469 0.285 0.974 [1 per cell]
O 0.469 0.538 0.197 [1 per cell]
O 0.469 0.938 0.668 [1 per cell]
O 0.470 0.501 0.852 [1 per cell]
O 0.470 0.628 0.781 [1 per cell]
O 0.472 0.312 0.321 [1 per cell]
O 0.473 0.007 0.862 [1 per cell]
O 0.473 0.134 0.790 [1 per cell]
O 0.473 0.163 0.639 [1 per cell]
O 0.473 0.821 0.826 [1 per cell]
O 0.475 0.816 0.321 [1 per cell]
O 0.476 0.467 0.005 [1 per cell]
O 0.477 0.159 0.044 [1 per cell]
O 0.477 0.276 0.473 [1 per cell]
O 0.478 0.348 0.670 [1 per cell]
O 0.478 0.665 0.130 [1 per cell]
O 0.479 0.693 0.976 [1 per cell]
O 0.480 0.093 0.443 [1 per cell]
O 0.480 0.946 0.252 [1 per cell]
O 0.481 0.115 0.191 [1 per cell]
O 0.485 0.884 0.022 [1 per cell]
O 0.959 0.411 0.089 [1 per cell]
O 0.959 0.874 0.744 [1 per cell]
O 0.960 0.049 0.651 [1 per cell]
O 0.960 0.488 0.724 [1 per cell]
O 0.961 0.392 0.458 [1 per cell]
O 0.964 0.678 0.261 [1 per cell]
O 0.983 0.146 0.917 [1 per cell]
O 0.984 0.234 0.184 [1 per cell]
O 0.985 0.759 0.902 [1 per cell]
O 0.986 0.582 0.991 [1 per cell]
O 0.986 0.954 0.377 [1 per cell]
O 0.987 0.219 0.556 [1 per cell]

Entry 3:
A geometry-optimized KW4O12 structure. Source: Alexandria, functional PBEsol.

Calculated values
total magnetization	0.0	Bohr magnetons per cell
energy relative to the elements, uncorrected	-2.1924	eV per atom
VASP energy	-0.6772	Ry/atom
density of states at the Fermi level	0.0566	states/eV/atom

Cell lengths 7.4171, 7.4171, 15.2502 Å; angles 90.00, 90.00, 120.00 degrees
Space group P6mm (No. 183)
Symmetry-distinct sites (fractional):
K 0.0000 0.0000 0.0000 [1 per cell]
K 0.0000 0.0000 0.3181 [1 per cell]
K 0.0000 0.0000 0.6371 [1 per cell]
W 0.0000 0.5000 0.1940 [3 per cell]
W 0.0000 0.5000 0.4444 [3 per cell]
W 0.0000 0.5000 0.6945 [3 per cell]
W 0.0000 0.5000 0.9439 [3 per cell]
O 0.0000 0.5000 0.0694 [3 per cell]
O 0.0000 0.5000 0.3192 [3 per cell]
O 0.0000 0.5000 0.5690 [3 per cell]
O 0.0000 0.5000 0.8192 [3 per cell]
O 0.2124 0.4248 0.1946 [6 per cell]
O 0.2124 0.4248 0.4438 [6 per cell]
O 0.2123 0.4246 0.6936 [6 per cell]
O 0.2123 0.4246 0.9448 [6 per cell]

Entry 4:
A geometry-optimized KWO3 structure. Source: Alexandria, functional PBEsol.

Calculated values
total magnetization	0.0	Bohr magnetons per cell
energy relative to the elements, uncorrected	-2.1810	eV per atom
VASP energy	-0.6114	Ry/atom
density of states at the Fermi level	0.1445	states/eV/atom

Cell lengths 3.923, 3.923, 3.923 Å; angles 90.00, 90.00, 90.00 degrees
Space group Pm-3m (No. 221)
Symmetry-distinct sites (fractional):
K 0.000 0.000 0.000 [1 per cell]
W 0.500 0.500 0.500 [1 per cell]
O 0.000 0.500 0.500 [3 per cell]

Entry 5:
A geometry-optimized K2W2O7 structure. Source: Alexandria, functional PBEsol.

Calculated values
total magnetization	0.0	Bohr magnetons per cell
energy relative to the elements, uncorrected	-2.1975	eV per atom
VASP energy	-0.6067	Ry/atom
density of states at the Fermi level	0.0000	states/eV/atom

Cell lengths 3.868, 13.710, 6.037 Å; angles 90.00, 90.33, 90.00 degrees
Space group P2_1/c (No. 14)
Symmetry-distinct sites (fractional):
K 0.010 0.167 0.331 [4 per cell]
W 0.462 0.566 0.716 [4 per cell]
O 0.011 0.055 0.776 [4 per cell]
O 0.497 0.582 0.410 [4 per cell]
O 0.498 0.689 0.810 [4 per cell]
O 0.500 0.000 0.500 [2 per cell]

Entry 6:
A geometry-optimized KWO3 structure. Source: Alexandria, functional PBEsol.

Calculated values
total magnetization	2.5	Bohr magnetons per cell
energy relative to the elements, uncorrected	1.6840	eV per atom
VASP energy	-0.3273	Ry/atom
density of states at the Fermi level	0.7474	states/eV/atom

Cell lengths 4.118, 4.118, 4.118 Å; angles 90.00, 90.00, 90.00 degrees
Space group Pm-3m (No. 221)
Symmetry-distinct sites (fractional):
K 0.000 0.000 0.000 [1 per cell]
W 0.500 0.500 0.500 [1 per cell]
O 0.000 0.000 0.500 [3 per cell]

Entry 7:
A geometry-optimized KYW2O8 structure. Source: Alexandria, functional PBEsol.

Calculated values
total magnetization	0.0	Bohr magnetons per cell
energy relative to the elements, uncorrected	-2.5587	eV per atom
VASP energy	-0.6631	Ry/atom
density of states at the Fermi level	0.0000	states/eV/atom

Cell lengths 10.657, 10.399, 7.458 Å; angles 90.00, 130.72, 90.00 degrees
Space group C2/c (No. 15)
Symmetry-distinct sites (fractional):
K 0.000 0.205 0.250 [4 per cell]
Y 0.000 0.228 0.750 [4 per cell]
W 0.197 0.498 0.733 [8 per cell]
O 0.022 0.391 0.970 [8 per cell]
O 0.126 0.085 0.686 [8 per cell]
O 0.192 0.428 0.448 [8 per cell]
O 0.222 0.159 0.124 [8 per cell]

Entry 8:
A geometry-optimized K4ZnW3O12 structure. Source: Alexandria, functional PBEsol.

Calculated values
total magnetization	0.0	Bohr magnetons per cell
energy relative to the elements, uncorrected	-2.0843	eV per atom
VASP energy	-0.5594	Ry/atom
density of states at the Fermi level	0.0000	states/eV/atom

Cell lengths 7.875, 9.797, 10.065 Å; angles 95.00, 106.39, 105.58 degrees
Space group P-1 (No. 2)
Symmetry-distinct sites (fractional):
K 0.000 0.000 0.000 [1 per cell]
K 0.139 0.885 0.568 [2 per cell]
K 0.248 0.474 0.532 [2 per cell]
K 0.292 0.780 0.242 [2 per cell]
K 0.500 0.000 0.000 [1 per cell]
Zn 0.336 0.443 0.139 [2 per cell]
W 0.112 0.603 0.848 [2 per cell]
W 0.269 0.272 0.824 [2 per cell]
W 0.378 0.185 0.364 [2 per cell]
O 0.054 0.270 0.702 [2 per cell]
O 0.093 0.626 0.672 [2 per cell]
O 0.115 0.500 0.149 [2 per cell]
O 0.183 0.776 0.953 [2 per cell]
O 0.206 0.129 0.447 [2 per cell]
O 0.262 0.270 0.005 [2 per cell]
O 0.285 0.096 0.789 [2 per cell]
O 0.285 0.514 0.911 [2 per cell]
O 0.333 0.054 0.213 [2 per cell]
O 0.378 0.361 0.320 [2 per cell]
O 0.399 0.792 0.514 [2 per cell]
O 0.467 0.379 0.779 [2 per cell]

Question: Look up the total magnetization of the first one.
Answer: 0.0 Bohr magnetons per cell